Version w
Computed, not measured: a geometry-optimized Y2ZrOs structure at the PBE level of DFT.

- volume (Å³ per cell) = 95.64
- magnetic moment (μB per formula unit) = 0.000
- N(E_F) (states/eV/cell) = 5.0

```
Y2ZrOs
1.0
-2.3777 -2.0809 1.2717
2.3939 -2.3317 0.6603
1.1306 3.2783 7.4781
Y Zr Os
2 1 1
Cartesian
0.6179 1.7918 4.0873
1.0779 3.1256 7.1299
0.2907 -1.3868 2.8355
0.8560 0.2524 6.5746
```

---

Version x
Computed, not measured: a geometry-optimized Y2ZrOs structure at the PBE level of DFT.

- volume (Å³ per cell) = 213.31
- magnetic moment (μB per formula unit) = 0.335
- N(E_F) (states/eV/cell) = 9.9

```
Y2ZrOs
1.0
8.6672 0.0000 0.0000
0.0000 8.6672 0.0000
4.3336 4.3336 2.8396
Y Os Zr
4 2 2
Cartesian
6.5004 5.8099 2.1297
1.4763 6.5004 0.7099
10.8340 11.5245 2.1297
7.1909 2.1668 0.7099
8.6672 4.3336 1.4198
0.0000 0.0000 0.0000
4.3336 8.6672 1.4198
4.3336 4.3336 0.0000
```

---

Version y
Computed, not measured: a geometry-optimized Y2ZrOs structure at the PBE level of DFT.

- volume (Å³ per cell) = 88.63
- magnetic moment (μB per formula unit) = 0.001
- N(E_F) (states/eV/cell) = 6.3

```
Y2ZrOs
1.0
5.0080 -0.0243 0.0000
0.0459 5.0079 0.0000
-2.5270 -2.4918 3.5336
Y Os Zr
2 1 1
Cartesian
0.0229 2.5039 1.7668
0.0000 0.0000 0.0000
2.5040 -0.0122 1.7668
2.5270 2.4918 0.0000
```

---

Most stable: version w (next structure +0.088 eV/atom)

---

Version w
Computed, not measured: a geometry-optimized Y2ZrOs structure at the PBE level of DFT.

- volume (Å³ per cell) = 89.12
- magnetic moment (μB per formula unit) = 0.000
- N(E_F) (states/eV/cell) = 5.9

```
Y2ZrOs
1.0
-2.5871 -4.9995 -1.5127
3.4161 2.4099 -3.9045
2.4513 -2.0856 0.0451
Y Os Zr
2 1 1
Cartesian
-0.0679 -3.5426 -0.7338
0.0000 0.0000 0.0000
0.4145 -1.2948 -2.7086
2.9337 0.1622 -1.9297
```

---

Version x
Computed, not measured: a geometry-optimized Y2ZrOs structure at the PBE level of DFT.

- volume (Å³ per cell) = 94.98
- magnetic moment (μB per formula unit) = 0.000
- N(E_F) (states/eV/cell) = 5.0

```
Y2ZrOs
1.0
4.5413 0.0000 0.0000
0.0000 3.4189 0.0045
0.0000 1.6146 6.1197
Y Os Zr
2 1 1
Cartesian
0.0000 4.7700 5.9067
2.2707 1.2996 1.6897
2.2707 3.6811 4.4437
0.0000 2.8332 3.2705
```

---

Version y
Computed, not measured: a geometry-optimized Y2ZrOs structure at the PBE level of DFT.

- volume (Å³ per cell) = 92.22
- magnetic moment (μB per formula unit) = 0.000
- N(E_F) (states/eV/cell) = 4.1

```
Y2ZrOs
1.0
4.6588 0.0000 0.0000
0.0000 3.3586 0.0114
0.0000 1.8980 5.9005
Os Y Zr
1 2 1
Cartesian
2.3294 3.9425 4.4339
0.0000 4.9599 5.7855
0.0000 2.9250 3.0824
2.3294 1.3142 1.4780
```

---

Version z
Computed, not measured: a geometry-optimized Y2ZrOs structure at the PBE level of DFT.

- volume (Å³ per cell) = 93.76
- magnetic moment (μB per formula unit) = 0.000
- N(E_F) (states/eV/cell) = 2.6

```
Y2ZrOs
1.0
6.1936 0.0016 -0.0038
5.1983 3.3672 -0.0038
1.9807 0.5857 4.4964
Os Zr Y
1 1 2
Cartesian
10.0295 2.9660 3.3666
3.3432 0.9887 1.1222
6.2692 1.8540 2.4442
2.3978 0.7091 4.2966
```

---

Most stable: version z (next structure +0.110 eV/atom)

---

Version w
Computed, not measured: a geometry-optimized Y2ZrOs structure at the PBE level of DFT.

- volume (Å³ per cell) = 89.84
- magnetic moment (μB per formula unit) = 0.000
- N(E_F) (states/eV/cell) = 4.8

```
Y2ZrOs
1.0
-1.9412 -4.5541 3.0617
3.9163 -3.2701 2.8021
-1.2632 5.6594 -0.5075
Y Os Zr
2 1 1
Cartesian
0.9875 -3.9121 2.9319
0.0000 0.0000 0.0000
-1.1084 -1.4034 2.7430
1.8203 -0.7614 2.6132
```

---

Version x
Computed, not measured: a geometry-optimized Y2ZrOs structure at the PBE level of DFT.

- volume (Å³ per cell) = 90.18
- magnetic moment (μB per formula unit) = 0.000
- N(E_F) (states/eV/cell) = 3.9

```
Y2ZrOs
1.0
4.9265 0.0000 0.0000
0.0000 4.2784 0.0000
0.0000 0.0000 4.2784
Y Zr Os
2 1 1
Cartesian
0.0000 2.1392 2.1392
0.0000 0.0000 0.0000
2.4633 2.1392 0.0000
2.4633 0.0000 2.1392
```

---

Most stable: version x (next structure +0.021 eV/atom)

---

Version w
Computed, not measured: a geometry-optimized YZr2Os2 structure at the PBE level of DFT.

- volume (Å³ per cell) = 111.20
- magnetic moment (μB per formula unit) = 0.000
- N(E_F) (states/eV/cell) = 7.0

```
YZr2Os2
1.0
-0.8209 -3.6812 2.2930
-1.4331 -1.9724 -3.6795
4.1660 -4.6743 -1.7644
Zr Os Y
2 2 1
Cartesian
0.8029 -4.7368 -3.0686
1.1091 -5.5912 -0.0823
0.0306 -3.2309 -0.9275
1.8814 -7.0971 -2.2234
0.0000 0.0000 0.0000
```

---

Version x
Computed, not measured: a geometry-optimized YZr2Os2 structure at the PBE level of DFT.

- volume (Å³ per cell) = 113.23
- magnetic moment (μB per formula unit) = 0.750
- N(E_F) (states/eV/cell) = 4.9

```
YZr2Os2
1.0
-1.7307 -1.6363 3.6276
3.6823 0.8419 2.1365
-1.1154 5.0479 4.3406
Y Os Zr
1 2 2
Cartesian
0.0000 0.0000 0.0000
-0.9352 1.5072 5.4251
1.7713 2.7463 4.6796
0.4445 0.9862 3.2526
0.3917 3.2673 6.8521
```

---

Most stable: version w (next structure +0.470 eV/atom)

---

Version w
Computed, not measured: a geometry-optimized Zn4Os5 structure at the PBE level of DFT.

- volume (Å³ per cell) = 255.54
- magnetic moment (μB per formula unit) = 0.000
- N(E_F) (states/eV/cell) = 18.3

```
Zn4Os5
1.0
-4.6517 5.1429 -3.1361
-0.3941 0.6575 -7.5719
-3.7454 -3.4516 -0.1048
Zn Os
8 10
Cartesian
-5.8177 0.7377 -2.1070
-2.9482 -2.3564 -2.7531
0.0000 0.0000 0.0000
-1.1913 -0.4376 -4.9236
-2.5794 0.9536 -1.1339
-4.7070 -0.3469 -6.0837
-1.8727 -1.7258 -0.0524
-4.0842 2.6957 -4.7291
-1.6819 1.9335 -3.5693
-4.2744 -0.9686 -1.0665
-4.1226 2.6598 -2.1743
-6.1195 1.1412 -4.6121
-3.0790 -2.1383 -5.2652
-3.3639 3.8669 -7.1387
-1.0605 -0.6558 -2.4115
-2.6717 1.2076 -6.2007
-3.5546 0.2077 -3.6217
-5.2366 2.1411 -7.1911
```

---

Version x
Computed, not measured: a geometry-optimized Zn4Os5 structure at the PBE level of DFT.

- volume (Å³ per cell) = 130.78
- magnetic moment (μB per formula unit) = 0.005
- N(E_F) (states/eV/cell) = 8.5

```
Zn4Os5
1.0
-4.8209 4.8209 1.4068
4.8209 -4.8209 1.4068
4.8209 4.8209 -1.4068
Zn Os
4 5
Cartesian
0.0000 3.2055 0.0000
0.0000 6.4363 0.0000
6.4363 0.0000 0.0000
3.2055 0.0000 0.0000
3.1968 3.1968 0.0000
1.6240 1.6240 1.4068
-1.6240 1.6240 1.4068
0.0000 0.0000 0.0000
1.6240 -1.6240 1.4068
```

---

Most stable: version x (next structure +0.118 eV/atom)

---

Version w
Computed, not measured: a geometry-optimized Zn4Os structure at the PBE level of DFT.

- volume (Å³ per cell) = 75.35
- magnetic moment (μB per formula unit) = 0.000
- N(E_F) (states/eV/cell) = 1.5

```
Zn4Os
1.0
-1.6913 1.6913 6.5853
1.6913 -1.6913 6.5853
1.6913 1.6913 -6.5853
Zn Os
4 1
Cartesian
0.0000 0.0000 7.8137
1.6913 0.0000 3.2927
0.0000 1.6913 3.2927
0.0000 0.0000 5.3570
0.0000 0.0000 0.0000
```

---

Version x
Computed, not measured: a geometry-optimized Zn4Os structure at the PBE level of DFT.

- volume (Å³ per cell) = 111.87
- magnetic moment (μB per formula unit) = 0.000
- N(E_F) (states/eV/cell) = 4.3

```
Zn4Os
1.0
4.8185 0.0000 0.0000
0.0000 4.8185 0.0000
0.0000 0.0000 4.8185
Zn Os
4 1
Cartesian
0.0000 2.4092 2.4092
2.4092 0.0000 2.4092
0.0000 0.0000 0.0000
2.4092 2.4092 0.0000
2.4092 2.4092 2.4092
```

---

Version y
Computed, not measured: a geometry-optimized Zn4Os structure at the PBE level of DFT.

- volume (Å³ per cell) = 71.12
- magnetic moment (μB per formula unit) = 0.000
- N(E_F) (states/eV/cell) = 1.2

```
Zn4Os
1.0
-0.0514 -1.6721 -3.1163
-0.5381 -4.7579 0.5546
-4.4285 1.3182 1.3729
Zn Os
4 1
Cartesian
-2.2704 -4.6550 -1.4792
-1.0778 -2.3328 -0.7377
-3.9402 -2.7790 -0.4511
-2.7476 -0.4568 0.2904
0.0000 0.0000 0.0000
```

---

Most stable: version y (next structure +0.354 eV/atom)

---

Version w
Computed, not measured: a geometry-optimized Zn5Os4 structure at the PBE level of DFT.

- volume (Å³ per cell) = 256.61
- magnetic moment (μB per formula unit) = 1.536
- N(E_F) (states/eV/cell) = 17.7

```
Zn5Os4
1.0
7.6162 0.0000 0.0000
3.8081 6.5958 0.0000
0.0000 0.0000 5.1083
Os Zn
8 10
Cartesian
2.6813 0.0000 1.2771
2.4674 4.2737 1.2771
5.1487 4.2737 3.8312
6.2755 2.3221 1.2771
4.9349 0.0000 3.8312
1.3406 2.3221 3.8312
0.0000 0.0000 2.5542
0.0000 0.0000 0.0000
6.4196 2.0725 3.8312
5.0046 4.5233 1.2771
2.3931 0.0000 3.8312
3.8081 2.1986 0.0000
7.6162 4.3972 2.5542
7.6162 4.3972 0.0000
3.8081 2.1986 2.5542
5.2231 0.0000 1.2771
2.6115 4.5233 3.8312
1.1965 2.0725 1.2771
```

---

Version x
Computed, not measured: a geometry-optimized Zn5Os4 structure at the PBE level of DFT.

- volume (Å³ per cell) = 127.26
- magnetic moment (μB per formula unit) = 0.000
- N(E_F) (states/eV/cell) = 4.7

```
Zn5Os4
1.0
-4.0603 0.2822 4.3961
1.4294 2.6029 -5.2032
-1.9228 -5.1653 -2.3483
Os Zn
4 5
Cartesian
-0.3270 -1.6983 -5.0051
-3.9656 -3.2365 1.3573
-0.1664 -0.8640 -2.5464
-2.0175 -1.6466 0.6905
-0.3960 1.8312 -2.0113
-2.4002 0.1956 -1.3253
-2.2349 1.0539 1.2042
-2.1536 -2.4757 -1.8301
0.0000 0.0000 0.0000
```

---

Most stable: version x (next structure +0.292 eV/atom)

---

Version w
Computed, not measured: a geometry-optimized Zr2Os3 structure at the PBE level of DFT.

- volume (Å³ per cell) = 184.35
- magnetic moment (μB per formula unit) = 0.000
- N(E_F) (states/eV/cell) = 8.4

```
Zr2Os3
1.0
0.0000 4.4957 7.7158
2.6573 0.0000 7.7158
2.6573 4.4957 0.0000
Zr Os
4 6
Cartesian
4.5770 5.2206 10.9112
4.5770 8.2666 12.2363
3.2484 6.0187 7.0533
3.2484 2.9727 8.3784
0.3417 4.4957 7.7158
1.8954 5.1206 9.6265
3.2241 7.3684 9.6631
3.2241 6.1187 13.4844
1.6703 2.2479 3.8579
1.8954 3.8708 5.8051
```

---

Version x
Computed, not measured: a geometry-optimized Zr2Os3 structure at the PBE level of DFT.

- volume (Å³ per cell) = 85.21
- magnetic moment (μB per formula unit) = 0.000
- N(E_F) (states/eV/cell) = 7.3

```
Zr2Os3
1.0
-7.0537 -6.7016 6.4822
-8.2694 -7.2880 3.8971
-5.9675 -8.8288 4.8090
Zr Os
2 3
Cartesian
-12.7677 -13.6838 9.1082
-8.5230 -9.1345 6.0801
-17.1169 -18.3450 12.2108
0.0000 0.0000 0.0000
-4.1738 -4.4733 2.9775
```

---

Most stable: version w (next structure +0.412 eV/atom)

---

Version w
Computed, not measured: a geometry-optimized ZrOs3 structure at the PBE level of DFT.

- volume (Å³ per cell) = 65.32
- magnetic moment (μB per formula unit) = 0.000
- N(E_F) (states/eV/cell) = 3.2

```
ZrOs3
1.0
5.6515 -0.0081 0.0013
3.0762 4.7410 -0.0013
-3.8076 -3.3923 2.4361
Os Zr
3 1
Cartesian
1.9364 1.0501 0.0000
-0.3657 0.6744 1.2174
6.7913 3.6828 0.0000
0.9220 -1.7002 1.2187
```

---

Version x
Computed, not measured: a geometry-optimized ZrOs3 structure at the PBE level of DFT.

- volume (Å³ per cell) = 126.95
- magnetic moment (μB per formula unit) = 0.000
- N(E_F) (states/eV/cell) = 9.5

```
ZrOs3
1.0
2.8301 -4.9027 0.0000
2.8301 4.9027 0.0000
0.0000 0.0000 4.5750
Os Zr
6 2
Cartesian
4.2981 -1.6442 3.4312
1.3620 1.6442 1.1437
1.3620 -1.6442 3.4312
2.8301 4.1463 1.1437
4.2981 1.6442 1.1437
2.8301 -4.1463 3.4312
2.8301 -0.8804 1.1437
2.8301 0.8804 3.4312
```

---

Most stable: version x (next structure +0.119 eV/atom)

---

Version w
Computed, not measured: a geometry-optimized ZrOs3 structure at the PBE level of DFT.

- volume (Å³ per cell) = 64.45
- magnetic moment (μB per formula unit) = 0.000
- N(E_F) (states/eV/cell) = 5.1

```
ZrOs3
1.0
2.8332 -0.0005 0.0000
0.0004 2.8332 0.0000
0.0000 0.0000 8.0287
Os Zr
3 1
Cartesian
1.4168 1.4164 6.0215
0.0000 0.0000 4.2293
0.0000 0.0000 7.8138
1.4168 1.4164 2.0072
```

---

Version x
Computed, not measured: a geometry-optimized ZrOs3 structure at the PBE level of DFT.

- volume (Å³ per cell) = 63.49
- magnetic moment (μB per formula unit) = 0.000
- N(E_F) (states/eV/cell) = 4.7

```
ZrOs3
1.0
-0.6606 -1.2754 3.7219
3.2925 -2.2452 -0.1851
2.1538 3.0410 1.4244
Zr Os
1 3
Cartesian
1.3160 -1.7603 1.7684
0.7466 0.8828 2.5731
0.0000 0.0000 0.0000
2.7231 0.3979 0.6197
```

---

Most stable: version x (next structure +0.077 eV/atom)

---

Version w
Computed, not measured: a geometry-optimized ZrOs3 structure at the PBE level of DFT.

- volume (Å³ per cell) = 63.91
- magnetic moment (μB per formula unit) = 0.000
- N(E_F) (states/eV/cell) = 6.6

```
ZrOs3
1.0
2.7850 0.0000 0.0000
0.9283 5.1475 0.0000
0.9283 -2.5737 4.4579
Os Zr
3 1
Cartesian
1.8566 2.5737 0.0000
1.8566 -1.2869 2.2289
0.0000 0.0000 0.0000
0.9283 1.2869 2.2289
```

---

Version x
Computed, not measured: a geometry-optimized ZrOs3 structure at the PBE level of DFT.

- volume (Å³ per cell) = 131.57
- magnetic moment (μB per formula unit) = 0.000
- N(E_F) (states/eV/cell) = 9.1

```
ZrOs3
1.0
-2.9716 -1.6259 3.7940
2.8359 -4.2011 0.4208
2.9993 2.3613 3.3611
Os Zr
6 2
Cartesian
0.7637 0.9580 4.4178
-0.8108 -3.3200 3.0559
2.2086 0.1304 1.7858
3.6266 -1.9702 1.9962
0.6750 -2.5070 1.1589
-0.7360 -0.2226 2.7373
0.0000 0.0000 0.0000
1.4318 -1.7328 3.7880
```

---

Version y
Computed, not measured: a geometry-optimized ZrOs3 structure at the PBE level of DFT.

- volume (Å³ per cell) = 64.50
- magnetic moment (μB per formula unit) = 0.000
- N(E_F) (states/eV/cell) = 4.4

```
ZrOs3
1.0
2.8561 0.0000 0.0000
-1.4280 4.7020 0.0013
0.0000 -0.8804 4.8026
Os Zr
3 1
Cartesian
1.4280 3.7360 4.6661
1.4280 -0.3545 2.5392
0.0000 1.6907 3.6026
1.4280 2.1309 1.2013
```

---

Most stable: version y (next structure +0.265 eV/atom)